A relaxed Na2PuZn2O6 crystal. Source: Alexandria, functional PBE.

Structure (CIF):
```
data_Na2PuZn2O6
_chemical_formula_sum 'Na2 Pu1 Zn2 O6'
_cell_length_a 5.3980
_cell_length_b 5.3980
_cell_length_c 5.6860
_cell_angle_alpha 90.00
_cell_angle_beta 90.00
_cell_angle_gamma 120.00
_symmetry_space_group_name_H-M 'P -3 1 m'
_symmetry_Int_Tables_number 162
_symmetry_space_group_name_Hall '-P 3 2'
loop_
_atom_site_label
_atom_site_type_symbol
_atom_site_fract_x
_atom_site_fract_y
_atom_site_fract_z
Na1 Na 0.3333 0.6667 0.0000
Pu1 Pu 0.0000 0.0000 0.5000
Zn1 Zn 0.3333 0.6667 0.5000
O1 O 0.0000 0.3274 0.7010
```

Results
Formation energy (no corrections) (eV per atom): -1.847